The following is a PBE-GGA calculation of an optimized crystal structure of Li4Nb2O5, from OQMD. Values from VASP.

Computed properties:
The calculation puts the volume at 110.20 Å³ per cell. The total energy is -6.7671 eV per atom.

Cell and atoms, written as Quantum ESPRESSO input:
```
&SYSTEM
  ibrav = 0, nat = 11, ntyp = 3
/
ATOMIC_SPECIES
Nb 92.91 Nb.upf
Li 6.94 Li.upf
O 16.00 O.upf
CELL_PARAMETERS angstrom
3.477 0.935 2.103
1.099 -6.444 1.049
2.323 -1.497 -3.177
ATOMIC_POSITIONS crystal
Nb 0.500 0.657 0.171
Nb 0.500 0.343 0.829
Li 0.000 0.349 0.326
Li 0.000 0.000 0.000
Li 0.000 0.651 0.674
Li 0.500 0.000 0.500
O 0.500 0.000 0.000
O 0.000 0.328 0.836
O 0.000 0.672 0.164
O 0.500 0.697 0.651
O 0.500 0.303 0.349
```